Material: Al2InBr
Method: DFT, meta-GGA SCAN
State: single point on PBEsol structure

The value obtained for the relative energy among the computed polymorphs is 0.068 eV per formula unit. The raw total energy comes out at -135.4 eV/cell. The value obtained for the formation energy from raw total energies is 0.166 eV per atom. The density of states at the Fermi level is 0.481 states/eV/atom.

It has space group Immm (No. 71), with a = 3.292 Å, b = 5.270 Å, c = 10.065 Å, α = 90.00°, β = 90.00° and γ = 90.00°. The distinct sites, in fractional coordinates, are Al at (0.000, 0.000, 0.249), In at (0.000, 0.500, 0.500) and Br at (0.000, 0.500, 0.000).



Material: AlZn2H2
Method: DFT, meta-GGA SCAN
State: single point on PBEsol structure

The raw total energy comes out at -78.2 eV/cell. The density of states at the Fermi level is 0.249 states/eV/atom.

It has space group P4/mbm (No. 127), with a = 6.397 Å, b = 6.397 Å, c = 2.601 Å, α = 90.00°, β = 90.00° and γ = 90.00°. The distinct sites, in fractional coordinates, are Al at (0.000, 0.000, 0.000), Zn at (0.143, 0.357, 0.500) and H at (0.123, 0.623, 0.000).